# 1
First-principles (GGA-PBEsol) data for a relaxed BeTl4Cr crystal, as listed in Alexandria.

Output
The total moment is 4.56 Bohr magnetons per cell. The value obtained for the mass density is 9145 kg/m3. The calculation puts the calculated volume at 26.6 Å³ per atom. The total energy comes out at -3.145 eV per atom. The calculation puts the formation enthalpy at 0 K at 0.9822 eV/atom.

a b c (Å): 6.0877 6.0877 6.0877
angles (deg): 60.00 60.00 60.00
With the nearest neighbours (Å) after each atom.
Fractional positions:
Be1 0.0000 0.0000 0.0000  12 Tl 3.57, 4 Cr 3.73
Tl1 0.3750 0.3750 0.3750  6 Tl 3.04
Tl2 0.3750 0.3750 0.8749  6 Tl 3.04
Tl3 0.3750 0.8749 0.3750  6 Tl 3.04
Tl4 0.8749 0.3750 0.3750  6 Tl 3.04
Cr1 0.7500 0.7500 0.7500  12 Tl 3.57, 4 Be 3.73

# 2
First-principles (GGA-PBEsol) data for a relaxed BeTl3Cr crystal, as listed in Alexandria.

Output
The total moment is 4.81 Bohr magnetons per cell. The value obtained for the mass density is 9587 kg/m3. The calculation puts the calculated volume at 23.4 Å³ per atom. The total energy comes out at -3.665 eV per atom. The calculation puts the formation enthalpy at 0 K at 0.7615 eV/atom.

a b c (Å): 4.8877 4.8877 4.8877
angles (deg): 90.00 90.00 90.00
With the nearest neighbours (Å) after each atom.
Fractional positions:
Be1 0.0000 0.0000 0.0000  6 Tl 2.44
Tl1 0.0000 0.0000 0.5000  2 Be 2.44
Tl2 0.0000 0.5000 0.0000  2 Be 2.44
Tl3 0.5000 0.0000 0.0000  2 Be 2.44
Cr1 0.5000 0.5000 0.5000  12 Tl 3.46

# 3
First-principles (GGA-PBEsol) data for a relaxed Be2TlCr crystal, as listed in Alexandria.

Output
The total moment is 0.00 Bohr magnetons per cell. The value obtained for the mass density is 8448 kg/m3. The calculation puts the calculated volume at 13.5 Å³ per atom. The total energy comes out at -4.606 eV per atom. The calculation puts the formation enthalpy at 0 K at 0.6120 eV/atom.

a b c (Å): 8.2907 2.7388 4.8029
angles (deg): 90.00 98.45 90.00
With the nearest neighbours (Å) after each atom.
Fractional positions:
Be1 0.2306 0.0000 0.1577  2 Be 2.10
Be2 0.2694 0.5000 0.8423  2 Be 2.10
Be3 0.7306 0.5000 0.1577  2 Be 2.10
Be4 0.7694 0.0000 0.8423  2 Be 2.10
Tl1 0.0000 0.0000 0.5000  6 Be 2.70-2.91, 2 Tl 2.74, 4 Cr 2.76
Tl2 0.5000 0.5000 0.5000  6 Be 2.70-2.91, 2 Tl 2.74, 4 Cr 2.76
Cr1 0.0000 0.5000 0.0000  6 Be 2.38-2.46
Cr2 0.5000 0.0000 0.0000  6 Be 2.38-2.46

The lowest calculated volume belongs to which entry? Be2TlCr